one) PrNd: relaxed, PBEsol.

Symmetry = P6_3/mmc (194)
Calculated volume = 33.4 Å³ per atom
Crystal system = hexagonal

```
PrNd
1.0
3.630 0.000 0.000
-1.815 3.143 0.000
0.000 0.000 11.707
Pr Nd
2 2
Direct
0.000 0.000 0.000
0.000 0.000 0.500
0.333 0.667 0.250
0.667 0.333 0.750
```

=====

two) PrNd: relaxed, PBEsol.

Symmetry = P-6m2 (187)
Calculated volume = 33.6 Å³ per atom
Crystal system = hexagonal

```
PrNd
1.0
-2.261 2.359 1.556
-0.305 -0.739 -3.529
-3.744 -4.411 1.247
Pr Nd
1 1
Direct
0.000 0.000 0.000
0.667 0.333 0.500
```

=====

Stability order, top to bottom: one), two)

=====

one) NdSi2Rh3: relaxed, PBEsol.

Symmetry = Imma (74)
Calculated volume = 15.8 Å³ per atom
Crystal system = orthorhombic

```
NdSi2Rh3
1.0
5.539 0.000 0.000
2.770 5.988 -0.031
2.770 1.765 5.722
Nd Si Rh
2 4 6
Direct
0.036 0.250 0.250
0.964 0.750 0.750
0.381 0.421 0.421
0.619 0.579 0.579
0.277 0.921 0.921
0.723 0.079 0.079
0.500 0.783 0.217
0.000 0.283 0.717
0.500 0.217 0.783
0.000 0.717 0.283
0.500 0.500 0.000
0.500 0.000 0.500
```

=====

two) NdSi2Rh3: relaxed, PBEsol.

Symmetry = P6/mmm (191)
Calculated volume = 16.0 Å³ per atom
Crystal system = hexagonal

```
NdSi2Rh3
1.0
-2.827 -0.762 2.183
-2.933 -1.631 -4.367
3.100 -3.630 2.747
Rh Si Nd
3 2 1
Direct
0.500 0.000 0.500
0.500 0.500 0.000
0.500 0.500 0.500
0.000 0.667 0.333
0.000 0.333 0.667
0.000 0.000 0.000
```

=====

Stability order, top to bottom: one), two)